No. 1
Entry from Alexandria via LeMat-Bulk: a geometry-optimized LiDy4Ru2 structure (PBE).

M_tot = 0.0000 μB per atom
polymorph energy (0 for the lowest one) = 0.000 eV/atom
calculated formation energy = -0.294 eV/atom
E = -122.80 eV for the cell shown
volume = 22.86 Å³/atom

Cell lengths 4.8735, 4.8735, 23.3420 Å; angles 90.00, 90.00, 120.00 degrees
Space group R-3m (No. 166, hexagonal axes)
One atom of each set of equivalent atoms:
Li: 0.0000 0.0000 0.0000 x3
Dy: 0.0000 0.0000 0.1286 x6
Dy: 0.0000 0.0000 0.3792 x6
Ru: 0.0000 0.0000 0.2526 x6

---

No. 2
Entry from Alexandria via LeMat-Bulk: a geometry-optimized HfSiTcIr structure (PBE).

M_tot = 0.0000 μB per atom
E = -149.61 eV for the cell shown
E_form (uncorrected) = -699.7 meV per atom
volume = 15.16 Å³/atom

Cell lengths 6.237, 6.237, 6.237 Å; angles 90.00, 90.00, 90.00 degrees
Space group F-43m (No. 216)
One atom of each set of equivalent atoms:
Hf: 0.000 0.000 0.000 x4
Si: 0.000 0.000 0.500 x4
Tc: 0.250 0.250 0.250 x4
Ir: 0.250 0.250 0.750 x4

---

No. 3
Entry from Alexandria via LeMat-Bulk: a geometry-optimized HgPb2Cl structure (PBE).

M_tot = 0.0000 μB per atom
polymorph energy (0 for the lowest one) = 0.129 eV/atom
E = -40.87 eV for the cell shown
E_form (uncorrected) = -163.1 meV per atom
volume = 27.41 Å³/atom

Cell lengths 7.598, 7.598, 7.598 Å; angles 90.00, 90.00, 90.00 degrees
Space group Fm-3m (No. 225)
One atom of each set of equivalent atoms:
Hg: 0.000 0.000 0.000 x4
Pb: 0.250 0.250 0.250 x8
Cl: 0.000 0.000 0.500 x4

---

No. 4
Entry from Alexandria via LeMat-Bulk: a geometry-optimized Mg2AuCl structure (PBE).

M_tot = 0.0000 μB per atom
polymorph energy (0 for the lowest one) = 0.274 eV/atom
E = -21.24 eV for the cell shown
E_form (uncorrected) = -577.1 meV per atom
volume = 21.82 Å³/atom

Cell lengths 3.405, 6.176, 8.301 Å; angles 90.00, 90.00, 90.00 degrees
Space group Immm (No. 71)
One atom of each set of equivalent atoms:
Mg: 0.000 0.000 0.241 x4
Au: 0.000 0.500 0.000 x2
Cl: 0.000 0.500 0.500 x2

---

No. 5
Entry from Alexandria via LeMat-Bulk: a geometry-optimized TiMoS4 structure (PBE).

M_tot = 0.0003 μB per atom
E = -79.82 eV for the cell shown
E_form (uncorrected) = -779.2 meV per atom
volume = 19.19 Å³/atom

Cell lengths 8.274, 8.432, 3.300 Å; angles 90.00, 90.00, 90.00 degrees
Space group Cmmm (No. 65)
One atom of each set of equivalent atoms:
Ti: 0.000 0.000 0.000 x2
Mo: 0.000 0.500 0.500 x2
S: 0.000 0.295 0.000 x4
S: 0.205 0.000 0.500 x4

---

No. 6
Entry from Alexandria via LeMat-Bulk: a geometry-optimized Ca2InFe structure (PBE).

M_tot = 0.5552 μB per atom
calculated formation energy = 0.098 eV/atom
E = -29.62 eV for the cell shown
volume = 27.85 Å³/atom

Cell lengths 4.619, 4.156, 11.604 Å; angles 90.00, 90.00, 90.00 degrees
Space group Amm2 (No. 38)
One atom of each set of equivalent atoms:
Ca: 0.000 0.000 0.000 x2
Ca: 0.500 0.000 0.296 x2
In: 0.000 0.000 0.709 x2
Fe: 0.500 0.000 0.592 x2